A plane-wave DFT calculation with PBE-GGA was carried out for a geometry-optimized CrH2Au structure.

* excess energy over the best structure of this formula in the dataset: 0.427 eV/atom
* total DFT energy (no corrections): -17.33 eV/f.u.
* DOS(E_F): 0.338 states/eV per atom

Cell: 5.4677 5.4677 5.4677 Å, 90.00 90.00 90.00°
Space group Fm-3m (No. 225)
Inequivalent atoms, fractional coordinates:
Cr (0.0000, 0.0000, 0.0000) (multiplicity 4)
H (0.2500, 0.2500, 0.2500) (multiplicity 8)
Au (0.0000, 0.0000, 0.5000) (multiplicity 4)